Entry 1:
Density functional theory data (PBE) for crystalline Zr2ReO at its relaxed geometry.

For the total DFT energy (no corrections), the calculation gives -37.60 eV per formula unit. The raw formation energy comes out at -3.10 eV/f.u. For the total moment, the calculation gives 0.00 μB/atom. For the theoretical density, the calculation gives 10.0 g/cm³.

Unit cell a=3.1058 b=3.1058 c=6.6164 alpha=90.00 beta=90.00 gamma=90.00
Sites, in units of the cell vectors:
Re 0.5000 0.5000 0.5000
O 0.5000 0.5000 0.0000
Zr 0.0000 0.0000 0.7604
Zr 0.0000 0.0000 0.2396

=====

Entry 2:
Density functional theory data (PBE) for crystalline RhO at its relaxed geometry.

For the total DFT energy (no corrections), the calculation gives -12.41 eV per formula unit. The raw formation energy comes out at -0.10 eV/f.u. For the total moment, the calculation gives 0.00 μB/atom. For the theoretical density, the calculation gives 7.0 g/cm³.

Unit cell a=6.3688 b=6.3688 c=2.7759 alpha=90.00 beta=90.00 gamma=90.00
Sites, in units of the cell vectors:
Rh 0.1360 0.8640 0.5000
O 0.1927 0.1927 0.5000
O 0.8073 0.8073 0.5000
Rh 0.8640 0.1360 0.5000
O 0.3073 0.6927 0.0000
Rh 0.3640 0.3640 0.0000
O 0.6927 0.3073 0.0000
Rh 0.6360 0.6360 0.0000

=====

Entry 3:
Density functional theory data (PBE) for crystalline RhO5 at its relaxed geometry.

For the total DFT energy (no corrections), the calculation gives -32.88 eV per formula unit. The raw formation energy comes out at -0.74 eV/f.u. For the total moment, the calculation gives 0.44 μB/atom. For the theoretical density, the calculation gives 3.3 g/cm³.

Unit cell a=3.1345 b=3.6034 c=9.4116 alpha=106.44 beta=90.00 gamma=115.78
Sites, in units of the cell vectors:
O 0.9153 0.8306 0.3169
Rh 0.0285 0.0571 0.1478
O 0.5014 0.0027 0.7480
O 0.6953 0.3905 0.2709
O 0.3624 0.7248 0.6237
O 0.3305 0.6610 0.0594

=====

Entry 4:
Density functional theory data (PBE) for crystalline RhO at its relaxed geometry.

For the total DFT energy (no corrections), the calculation gives -11.76 eV per formula unit. The raw formation energy comes out at 0.55 eV/f.u. For the total moment, the calculation gives 0.00 μB/atom. For the theoretical density, the calculation gives 5.9 g/cm³.

Unit cell a=5.8724 b=5.8724 c=5.8724 alpha=90.00 beta=90.00 gamma=90.00
Sites, in units of the cell vectors:
O 0.5000 0.0000 0.2500
Rh 0.0000 0.5000 0.7500
O 0.0000 0.7500 0.5000
O 0.0000 0.2500 0.5000
Rh 0.5000 0.7500 0.0000
O 0.5000 0.0000 0.7500
Rh 0.2500 0.0000 0.5000
Rh 0.7500 0.0000 0.5000
Rh 0.0000 0.5000 0.2500
Rh 0.5000 0.2500 0.0000
O 0.2500 0.5000 0.0000
O 0.7500 0.5000 0.0000